Run A
Here is an optimized crystal structure of Nd4Dy4Tm3 from Alexandria. Energies are from PBE.

The structure in extended XYZ format:
```
11
Lattice="-2.086 0.210 2.835 3.602 -3.273 2.893 9.564 12.942 8.272" Properties=species:S:1:pos:R:3 pbc="T T T"
Nd 4.146 -0.558 5.284
Nd 6.933 10.436 8.715
Nd 6.244 4.707 8.631
Nd 4.836 5.172 5.369
Tm 8.983 7.389 8.257
Tm 9.564 12.942 8.272
Tm 2.098 2.491 5.743
Dy 5.349 7.833 7.742
Dy 1.558 -0.216 3.354
Dy 9.523 10.097 10.647
Dy 5.731 2.046 6.258
```

Run B
Here is an optimized crystal structure of Nd4Dy4Tm3 from Alexandria. Energies are from PBE.

The structure in extended XYZ format:
```
11
Lattice="-0.591 0.752 3.483 2.653 -8.698 2.329 9.213 7.367 -1.901" Properties=species:S:1:pos:R:3 pbc="T T T"
Dy 0.189 -1.211 2.167
Dy 4.600 1.998 2.222
Dy 1.874 -6.735 3.646
Dy 6.676 -2.577 1.690
Tm 2.188 0.725 0.215
Tm 1.327 -4.349 1.164
Tm 9.088 -1.304 3.697
Nd 4.448 -4.547 3.610
Nd 6.827 3.969 0.301
Nd 3.502 -1.448 2.780
Nd 7.773 0.869 1.131
```

Winner for stability: run A